VASP calculation (GGA-PBE) on a relaxed LiVBr2 crystal.

Structure (POSCAR):
```
LiVBr2
1.0
0.000 3.462 3.462
3.462 0.000 3.462
3.462 3.462 0.000
Br Li V
2 1 1
Cartesian
1.731 1.731 1.731
5.193 5.193 5.193
0.000 0.000 0.000
3.462 3.462 3.462
```

Values from the calculation:
Polymorph energy (0 for the lowest one) in meV/atom: 213.6
Raw formation energy in meV per atom: -325.5

=====

VASP calculation (GGA-PBE) on a relaxed LiW2Br crystal.

Structure (POSCAR):
```
LiW2Br
1.0
2.821 -0.004 0.000
-1.222 2.542 0.000
0.000 0.000 9.631
Br Li W
1 1 2
Cartesian
0.799 1.269 2.408
0.799 1.269 7.223
0.000 0.000 0.023
0.000 0.000 4.793
```

Values from the calculation:
Polymorph energy (0 for the lowest one) in meV/atom: 877.9
Raw formation energy in meV per atom: 1102.4

=====

VASP calculation (GGA-PBE) on a relaxed LiW2Br8 crystal.

Structure (POSCAR):
```
LiW2Br8
1.0
6.791 0.365 0.277
0.512 8.203 -0.097
0.512 2.115 7.927
Br Li W
8 1 2
Cartesian
5.797 6.699 5.083
4.966 2.264 1.717
5.790 2.515 5.979
5.790 6.435 0.812
2.025 4.249 7.294
2.025 8.169 2.128
2.018 3.985 3.023
2.849 8.420 6.389
0.000 0.000 0.000
5.276 8.574 6.506
2.539 2.109 1.601
```

Values from the calculation:
Raw formation energy in meV per atom: -354.5

=====

VASP calculation (GGA-PBE) on a relaxed LiW2Br crystal.

Structure (POSCAR):
```
LiW2Br
1.0
3.072 0.000 0.000
0.000 4.246 0.000
0.000 0.000 5.665
W Br Li
2 1 1
Cartesian
1.536 2.123 0.000
0.000 0.000 0.000
1.536 0.000 2.833
0.000 2.123 2.833
```

Values from the calculation:
Polymorph energy (0 for the lowest one) in meV/atom: 585.7
Raw formation energy in meV per atom: 810.2